(1)
Material: Tm7ThSc3
Method: DFT, PBE-GGA
State: relaxed

a b c (Å): 8.223 6.870 6.870
angles (deg): 120.00 90.00 90.00
Atoms (fractional coordinates):
Tm 0.109 0.667 0.333
Tm 0.112 0.169 0.338
Tm 0.457 0.336 0.168
Tm 0.457 0.832 0.168
Tm 0.112 0.662 0.831
Tm 0.457 0.832 0.664
Tm 0.112 0.169 0.831
Th 0.453 0.333 0.667
Sc 0.782 0.499 0.997
Sc 0.782 0.003 0.501
Sc 0.782 0.499 0.501

* formation energy from the elements: 0.2144 eV/atom
* E above lowest polymorph: 69 meV per atom
* raw total energy: -5.03 eV/atom
* total magnetization: 0.005 μB per cell

=====

(2)
Material: Tm8Th3Sc2
Method: DFT, PBE-GGA
State: relaxed

a b c (Å): 6.417 9.225 8.582
angles (deg): 122.51 82.01 90.00
Atoms (fractional coordinates):
Sc 0.771 0.788 0.576
Sc 0.229 0.212 0.424
Tm 0.880 0.415 0.830
Tm 0.564 0.792 0.229
Tm 0.729 0.196 0.392
Tm 0.436 0.208 0.771
Tm 0.436 0.563 0.771
Tm 0.120 0.585 0.170
Tm 0.271 0.804 0.608
Tm 0.564 0.437 0.229
Th 0.000 0.170 0.000
Th 0.500 0.000 0.000
Th 0.000 0.830 0.000

* formation energy from the elements: 0.3090 eV/atom
* E above lowest polymorph: 267 meV per atom
* raw total energy: -5.13 eV/atom
* total magnetization: 0.001 μB per cell

=====

(3)
Material: Tm4ThSc
Method: DFT, PBE-GGA
State: relaxed

a b c (Å): 7.768 9.199 6.880
angles (deg): 124.15 116.52 85.33
Atoms (fractional coordinates):
Th 0.746 0.501 0.874
Th 0.254 0.499 0.126
Tm 0.418 0.169 0.710
Tm 0.582 0.831 0.290
Tm 0.918 0.173 0.465
Tm 0.417 0.171 0.212
Tm 0.920 0.176 0.967
Tm 0.082 0.827 0.535
Tm 0.080 0.824 0.033
Tm 0.583 0.829 0.788
Sc 0.248 0.500 0.625
Sc 0.752 0.500 0.375

* formation energy from the elements: 0.0351 eV/atom
* E above lowest polymorph: 0 meV per atom
* raw total energy: -5.24 eV/atom
* total magnetization: 0.000 μB per cell

=====

(4)
Material: Tm8Th2Sc
Method: DFT, PBE-GGA
State: relaxed

a b c (Å): 6.499 6.498 8.804
angles (deg): 111.66 100.04 90.00
Atoms (fractional coordinates):
Th 0.659 0.752 0.504
Th 0.341 0.248 0.496
Tm 0.182 0.808 0.616
Tm 0.909 0.592 0.185
Tm 0.392 0.341 0.165
Tm 0.392 0.825 0.165
Tm 0.608 0.659 0.835
Tm 0.818 0.192 0.384
Tm 0.608 0.175 0.835
Tm 0.091 0.408 0.815
Sc 0.000 0.000 0.000

* formation energy from the elements: 0.1913 eV/atom
* E above lowest polymorph: 0 meV per atom
* raw total energy: -4.99 eV/atom
* total magnetization: 0.000 μB per cell

=====

What is the formula in the fourth record? Tm8Th2Sc

=====

What is the total magnetization in the fourth record? 0.000 μB per cell

=====

Copy entry 3 word for word.
Material: Tm4ThSc
Method: DFT, PBE-GGA
State: relaxed

a b c (Å): 7.768 9.199 6.880
angles (deg): 124.15 116.52 85.33
Atoms (fractional coordinates):
Th 0.746 0.501 0.874
Th 0.254 0.499 0.126
Tm 0.418 0.169 0.710
Tm 0.582 0.831 0.290
Tm 0.918 0.173 0.465
Tm 0.417 0.171 0.212
Tm 0.920 0.176 0.967
Tm 0.082 0.827 0.535
Tm 0.080 0.824 0.033
Tm 0.583 0.829 0.788
Sc 0.248 0.500 0.625
Sc 0.752 0.500 0.375

* formation energy from the elements: 0.0351 eV/atom
* E above lowest polymorph: 0 meV per atom
* raw total energy: -5.24 eV/atom
* total magnetization: 0.000 μB per cell